Record 1
First-principles (PBE) data for a relaxed CdAuCl2 crystal, as listed in Alexandria via LeMat-Bulk.

Cell and atoms, written as POSCAR:
```
CdAuCl2
1.0
-6.250 6.095 -2.100
-6.156 6.331 1.627
-3.651 8.192 -0.425
Cl Au Cd
2 1 1
direct
0.897 0.897 0.897
0.103 0.103 0.103
0.500 0.500 0.500
0.000 0.000 0.000
```

Summary:
Size of the total moment (μB/cell): 0.00
Distance to the lowest polymorph of the same formula (eV per formula unit): 1.43



Record 2
First-principles (PBE) data for a relaxed B5C7 crystal, as listed in Alexandria via LeMat-Bulk.

Cell and atoms, written as POSCAR:
```
B5C7
1.0
3.968 0.022 -5.459
-0.608 2.570 -6.817
0.442 -0.082 7.297
B C
5 7
direct
0.987 0.333 0.654
0.491 0.159 0.333
0.100 0.135 0.965
0.028 0.998 0.030
0.499 0.838 0.661
0.601 0.283 0.319
0.646 0.968 0.678
0.118 0.787 0.331
0.976 0.673 0.303
0.630 0.618 0.012
0.517 0.501 0.016
0.157 0.456 0.701
```

Summary:
Size of the total moment (μB/cell): 0.00
Distance to the lowest polymorph of the same formula (eV per formula unit): 1.18
Energy relative to the elements (eV/f.u.): 4.3



Record 3
First-principles (PBE) data for a relaxed SnGe3Pd6 crystal, as listed in Alexandria via LeMat-Bulk.

Cell and atoms, written as POSCAR:
```
SnGe3Pd6
1.0
-0.588 2.960 1.867
-6.289 3.267 -7.159
-6.333 -4.768 5.563
Sn Ge Pd
2 6 12
direct
0.750 0.051 0.693
0.250 0.949 0.307
0.750 0.402 0.874
0.250 0.598 0.126
0.750 0.678 0.550
0.250 0.322 0.450
0.750 0.203 0.031
0.250 0.797 0.969
0.750 0.449 0.605
0.250 0.551 0.395
0.750 0.946 0.094
0.250 0.054 0.906
0.750 0.432 0.168
0.250 0.568 0.832
0.750 0.734 0.286
0.250 0.266 0.714
0.750 0.142 0.452
0.250 0.858 0.548
0.750 0.809 0.787
0.250 0.191 0.213
```

Summary:
Size of the total moment (μB/cell): 0.00
Energy relative to the elements (eV/f.u.): -4.3



Record 4
First-principles (PBE) data for a relaxed Ti2CdFeRh crystal, as listed in Alexandria via LeMat-Bulk.

Cell and atoms, written as POSCAR:
```
Ti2CdFeRh
1.0
4.908 0.000 0.000
0.000 4.814 0.000
0.000 0.000 4.908
Ti Rh Fe Cd
2 1 1 1
direct
0.000 0.000 0.500
0.500 0.000 0.000
0.000 0.500 0.000
0.500 0.500 0.500
0.000 0.000 0.000
```

Summary:
Size of the total moment (μB/cell): 0.49
Energy relative to the elements (eV/f.u.): 8.0



Record 5
First-principles (PBE) data for a relaxed Ta2AlS crystal, as listed in Alexandria via LeMat-Bulk.

Cell and atoms, written as POSCAR:
```
Ta2AlS
1.0
3.907 0.000 0.000
0.000 3.907 0.000
1.954 1.954 9.347
S Al Ta
2 2 4
direct
0.000 0.000 0.000
0.750 0.250 0.500
0.500 0.500 0.000
0.250 0.750 0.500
0.625 0.125 0.250
0.125 0.625 0.250
0.375 0.375 0.750
0.875 0.875 0.750
```

Summary:
Size of the total moment (μB/cell): 0.00
Distance to the lowest polymorph of the same formula (eV per formula unit): 0.34



Record 6
First-principles (PBE) data for a relaxed Pa2FeSe crystal, as listed in Alexandria via LeMat-Bulk.

Cell and atoms, written as POSCAR:
```
Pa2FeSe
1.0
3.636 0.256 1.110
1.153 3.458 1.110
1.496 1.161 8.033
Pa Fe Se
2 1 1
direct
0.044 0.044 0.706
0.956 0.956 0.294
0.500 0.500 0.500
0.500 0.500 0.000
```

Summary:
Size of the total moment (μB/cell): 0.00
Distance to the lowest polymorph of the same formula (eV per formula unit): 0.00



Record 7
First-principles (PBE) data for a relaxed Rb2BeZnBr6 crystal, as listed in Alexandria via LeMat-Bulk.

Cell and atoms, written as POSCAR:
```
Rb2BeZnBr6
1.0
-6.934 -2.594 1.120
1.416 -0.624 7.326
-4.561 3.549 5.011
Be Zn Br Rb
1 1 6 2
direct
0.500 0.500 0.000
0.000 0.000 0.000
0.213 0.213 0.574
0.787 0.787 0.426
0.279 0.279 0.000
0.721 0.721 0.000
0.721 0.279 0.000
0.279 0.721 0.000
0.750 0.250 0.500
0.250 0.750 0.500
```

Summary:
Size of the total moment (μB/cell): 0.00
Total DFT energy (no corrections) (eV/atom): -2.804



Record 8
First-principles (PBE) data for a relaxed LaZnRe2 crystal, as listed in Alexandria via LeMat-Bulk.

Cell and atoms, written as POSCAR:
```
LaZnRe2
1.0
-1.550 -1.361 -1.974
-0.537 -0.796 2.689
-6.979 6.974 0.673
La Re Zn
1 2 1
direct
0.500 0.500 0.760
0.000 0.000 0.031
0.500 0.500 0.241
0.000 0.000 0.468
```

Summary:
Size of the total moment (μB/cell): 0.00
Energy relative to the elements (eV/f.u.): 1.9